Density functional theory data (GGA-PBE) for Pm3Y4Sc2 after structural relaxation.

a = 5.0046 Å, b = 7.8928 Å, c = 7.8905 Å
α = 107.57°, β = 108.49°, γ = 90.00°
With the nearest neighbours (Å) after each atom.
Fractional positions:
Pm: 0.0000 0.0000 0.0000  6 Y 3.48-3.50, 2 Pm 3.51, 4 Sc 3.56
Pm: 0.1134 0.6729 0.2268  3 Sc 3.45-3.50, 7 Y 3.51-3.61, 2 Pm 3.51-3.62
Pm: 0.8866 0.3271 0.7732  3 Sc 3.45-3.50, 7 Y 3.51-3.61, 2 Pm 3.51-3.62
Y: 0.2215 0.3240 0.4430  3 Sc 3.44-3.48, 4 Pm 3.48-3.61, 5 Y 3.54-3.63
Y: 0.4451 0.6724 0.8901  6 Pm 3.50-3.60, 2 Sc 3.53, 4 Y 3.54-3.60
Y: 0.5549 0.3276 0.1099  6 Pm 3.50-3.60, 2 Sc 3.53, 4 Y 3.54-3.60
Y: 0.7785 0.6760 0.5570  3 Sc 3.44-3.48, 4 Pm 3.48-3.61, 5 Y 3.54-3.63
Sc: 0.6696 0.0002 0.3391  5 Y 3.44-3.53, 5 Pm 3.45-3.56, 2 Sc 3.47
Sc: 0.3304 0.9998 0.6609  5 Y 3.44-3.53, 5 Pm 3.45-3.56, 2 Sc 3.47


Density functional theory data (GGA-PBE) for PmY2Sc6 after structural relaxation.

a = 5.9150 Å, b = 6.9540 Å, c = 6.9540 Å
α = 59.99°, β = 89.99°, γ = 89.99°
With the nearest neighbours (Å) after each atom.
Fractional positions:
Sc: 0.6822 0.1882 0.1882  1 Pm 2.94, 4 Sc 3.02-3.12
Sc: 0.3192 0.3764 0.8126  1 Pm 2.95, 4 Sc 3.02-3.12
Sc: 0.3192 0.8126 0.3764  1 Pm 2.95, 4 Sc 3.02-3.12
Sc: 0.3178 0.8118 0.8118  1 Pm 2.94, 4 Sc 3.02-3.12
Sc: 0.6808 0.6236 0.1874  1 Pm 2.95, 4 Sc 3.02-3.12
Sc: 0.6808 0.1874 0.6236  1 Pm 2.95, 4 Sc 3.02-3.12
Pm: 0.0000 0.0000 0.0000  6 Sc 2.94-2.95
Y: 0.8114 0.6662 0.6662  12 Sc 3.39-3.57
Y: 0.1886 0.3338 0.3338  12 Sc 3.39-3.57


Density functional theory data (GGA-PBE) for PmYSc after structural relaxation.

a = 3.5220 Å, b = 3.5220 Å, c = 7.7370 Å
α = 103.16°, β = 103.16°, γ = 90.00°
With the nearest neighbours (Å) after each atom.
Fractional positions:
Pm: 0.3275 0.3275 0.6549  4 Sc 3.43, 4 Pm 3.52, 4 Y 3.61
Sc: 0.6663 0.6663 0.3326  4 Y 3.42, 4 Pm 3.43, 4 Sc 3.52
Y: 0.0062 0.0062 0.0124  4 Sc 3.42, 4 Y 3.52, 4 Pm 3.61


Density functional theory data (GGA-PBE) for PmY8Sc6 after structural relaxation.

a = 6.4321 Å, b = 9.1181 Å, c = 9.1182 Å
α = 120.00°, β = 90.00°, γ = 90.00°
With the nearest neighbours (Å) after each atom.
Fractional positions:
Y: 0.8921 0.3594 0.0507  4 Sc 3.09-3.43, 3 Y 3.37-3.42
Y: 0.1079 0.0507 0.6913  4 Sc 3.09-3.43, 3 Y 3.37-3.42
Y: 0.1079 0.6406 0.9493  4 Sc 3.09-3.43, 3 Y 3.37-3.42
Y: 0.7554 0.3333 0.6667  6 Sc 3.37-3.51, 6 Y 3.50-3.52
Y: 0.1079 0.3087 0.3594  4 Sc 3.09-3.43, 3 Y 3.37-3.42
Y: 0.8921 0.9493 0.3087  4 Sc 3.09-3.43, 3 Y 3.37-3.42
Y: 0.8921 0.6913 0.6406  4 Sc 3.09-3.43, 3 Y 3.37-3.42
Y: 0.2446 0.6667 0.3333  6 Sc 3.37-3.51, 6 Y 3.50-3.52
Sc: 0.4065 0.3306 0.9408  1 Sc 2.97, 2 Y 3.09-3.25
Sc: 0.5935 0.6694 0.0592  1 Sc 2.97, 2 Y 3.09-3.25
Sc: 0.4065 0.6103 0.6694  1 Sc 2.97, 2 Y 3.09-3.25
Sc: 0.5935 0.3897 0.3306  1 Sc 2.97, 2 Y 3.09-3.25
Sc: 0.4065 0.0592 0.3897  1 Sc 2.97, 2 Y 3.09-3.25
Sc: 0.5935 0.9408 0.6103  1 Sc 2.97, 2 Y 3.09-3.25
Pm: 0.5000 0.0000 0.0000  6 Sc 3.37


Density functional theory data (GGA-PBE) for Pm12Y7Sc after structural relaxation.

a = 6.7347 Å, b = 11.1102 Å, c = 11.1102 Å
α = 63.98°, β = 78.34°, γ = 101.66°
With the nearest neighbours (Å) after each atom.
Fractional positions:
Pm: 0.7035 0.7899 0.7890  4 Pm 3.19-3.57, 2 Y 3.46-3.55
Pm: 0.7950 0.0685 0.4562  5 Pm 3.19-3.57, 2 Y 3.23-3.42
Pm: 0.5075 0.2110 0.5789  4 Pm 3.19-3.57, 2 Y 3.46-3.55
Pm: 0.7488 0.5438 0.5247  5 Pm 3.19-3.57, 2 Y 3.23-3.42
Pm: 0.2512 0.4562 0.4753  5 Pm 3.19-3.57, 2 Y 3.23-3.42
Pm: 0.0864 0.5789 0.2101  4 Pm 3.19-3.57, 2 Y 3.46-3.55
Pm: 0.9136 0.4211 0.7899  4 Pm 3.19-3.57, 2 Y 3.46-3.55
Pm: 0.2735 0.5247 0.9315  5 Pm 3.19-3.57, 2 Y 3.23-3.42
Pm: 0.2965 0.2101 0.2110  4 Pm 3.19-3.57, 2 Y 3.46-3.55
Pm: 0.7265 0.4753 0.0685  5 Pm 3.19-3.57, 2 Y 3.23-3.42
Pm: 0.2050 0.9315 0.5438  5 Pm 3.19-3.57, 2 Y 3.23-3.42
Pm: 0.4925 0.7890 0.4211  4 Pm 3.19-3.57, 2 Y 3.46-3.55
Y: 0.5000 0.0000 0.0000  2 Sc 3.37, 6 Y 3.42
Y: 0.8020 0.1598 0.1362  1 Sc 3.12, 3 Pm 3.23-3.46, 1 Y 3.42
Y: 0.0618 0.8638 0.2961  1 Sc 3.12, 3 Pm 3.23-3.46, 1 Y 3.42
Y: 0.6422 0.7039 0.1598  1 Sc 3.12, 3 Pm 3.23-3.46, 1 Y 3.42
Y: 0.1980 0.8402 0.8638  1 Sc 3.12, 3 Pm 3.23-3.46, 1 Y 3.42
Y: 0.9382 0.1362 0.7039  1 Sc 3.12, 3 Pm 3.23-3.46, 1 Y 3.42
Y: 0.3578 0.2961 0.8402  1 Sc 3.12, 3 Pm 3.23-3.46, 1 Y 3.42
Sc: 0.0000 0.0000 0.0000  8 Y 3.12-3.37


Density functional theory data (GGA-PBE) for Pm4YSc4 after structural relaxation.

a = 4.8788 Å, b = 7.7670 Å, c = 7.7670 Å
α = 84.34°, β = 71.70°, γ = 71.70°
With the nearest neighbours (Å) after each atom.
Fractional positions:
Y: 0.0000 0.0000 0.0000  4 Pm 3.41, 8 Sc 3.46
Sc: 0.3336 0.0000 0.3327  6 Pm 3.43-3.48, 2 Y 3.46, 4 Sc 3.47
Sc: 0.6663 0.6673 0.0000  6 Pm 3.43-3.48, 2 Y 3.46, 4 Sc 3.47
Sc: 0.3337 0.3327 0.0000  6 Pm 3.43-3.48, 2 Y 3.46, 4 Sc 3.47
Sc: 0.6664 0.0000 0.6673  6 Pm 3.43-3.48, 2 Y 3.46, 4 Sc 3.47
Pm: 0.0000 0.6727 0.3273  1 Y 3.41, 6 Sc 3.43-3.48, 5 Pm 3.53-3.60
Pm: 0.3273 0.6727 0.6727  1 Y 3.41, 6 Sc 3.43-3.48, 5 Pm 3.53-3.60
Pm: 0.6727 0.3273 0.3273  1 Y 3.41, 6 Sc 3.43-3.48, 5 Pm 3.53-3.60
Pm: 0.0000 0.3273 0.6727  1 Y 3.41, 6 Sc 3.43-3.48, 5 Pm 3.53-3.60


Density functional theory data (GGA-PBE) for PmYSc after structural relaxation.

a = 3.4563 Å, b = 5.4837 Å, c = 5.4837 Å
α = 120.00°, β = 90.00°, γ = 90.00°
With the nearest neighbours (Å) after each atom.
Fractional positions:
Y: 0.6666 0.6667 0.3333  2 Y 3.46, 6 Sc 3.61, 6 Pm 3.61
Sc: 0.1673 0.3333 0.6667  3 Pm 3.17, 2 Sc 3.46
Pm: 0.1661 0.0000 0.0000  3 Sc 3.17, 2 Pm 3.46


Density functional theory data (GGA-PBE) for PmYSc2 after structural relaxation.

a = 5.8272 Å, b = 4.9623 Å, c = 5.8279 Å
α = 64.79°, β = 50.40°, γ = 64.82°
With the nearest neighbours (Å) after each atom.
Fractional positions:
Y: 0.8011 0.2462 0.4946  8 Sc 3.40, 4 Pm 3.51
Sc: 0.5511 0.9961 0.2446  4 Y 3.40, 4 Pm 3.40, 4 Sc 3.51
Sc: 0.0511 0.4961 0.7447  4 Y 3.40, 4 Pm 3.40, 4 Sc 3.51
Pm: 0.3011 0.7462 0.9946  8 Sc 3.40, 4 Y 3.51


Density functional theory data (GGA-PBE) for Pm3YSc after structural relaxation.

a = 3.5227 Å, b = 10.7060 Å, c = 17.4394 Å
α = 90.00°, β = 90.00°, γ = 90.00°
With the nearest neighbours (Å) after each atom.
Fractional positions:
Pm: 0.7555 0.9389 0.4232  1 Sc 3.31, 6 Pm 3.44-3.56
Pm: 0.7421 0.5000 0.7500  4 Sc 3.22-3.24, 6 Pm 3.52-3.56
Pm: 0.2579 0.0000 0.2500  4 Sc 3.22-3.24, 6 Pm 3.52-3.56
Pm: 0.2445 0.9389 0.9232  1 Sc 3.31, 6 Pm 3.44-3.56
Pm: 0.2445 0.0611 0.5768  1 Sc 3.31, 6 Pm 3.44-3.56
Pm: 0.2579 0.5000 0.2500  4 Sc 3.22-3.24, 6 Pm 3.52-3.56
Pm: 0.7555 0.4389 0.0768  1 Sc 3.31, 6 Pm 3.44-3.56
Pm: 0.7555 0.5611 0.4232  1 Sc 3.31, 6 Pm 3.44-3.56
Pm: 0.2445 0.4389 0.5768  1 Sc 3.31, 6 Pm 3.44-3.56
Pm: 0.2445 0.5611 0.9232  1 Sc 3.31, 6 Pm 3.44-3.56
Pm: 0.7555 0.0611 0.0768  1 Sc 3.31, 6 Pm 3.44-3.56
Pm: 0.7421 0.0000 0.7500  4 Sc 3.22-3.24, 6 Pm 3.52-3.56
Y: 0.7376 0.2500 0.8965  2 Sc 3.44, 2 Y 3.52, 8 Pm 3.70-3.81
Y: 0.2624 0.7500 0.1035  2 Sc 3.44, 2 Y 3.52, 8 Pm 3.70-3.81
Y: 0.2624 0.2500 0.3965  2 Sc 3.44, 2 Y 3.52, 8 Pm 3.70-3.81
Y: 0.7376 0.7500 0.6035  2 Sc 3.44, 2 Y 3.52, 8 Pm 3.70-3.81
Sc: 0.2388 0.2500 0.7272  6 Pm 3.22-3.31, 2 Y 3.44, 2 Sc 3.52
Sc: 0.7612 0.7500 0.2728  6 Pm 3.22-3.31, 2 Y 3.44, 2 Sc 3.52
Sc: 0.2388 0.7500 0.7728  6 Pm 3.22-3.31, 2 Y 3.44, 2 Sc 3.52
Sc: 0.7612 0.2500 0.2272  6 Pm 3.22-3.31, 2 Y 3.44, 2 Sc 3.52


Density functional theory data (GGA-PBE) for Pm3Y12Sc after structural relaxation.

a = 5.0496 Å, b = 5.0496 Å, c = 20.1690 Å
α = 90.00°, β = 90.00°, γ = 90.00°
With the nearest neighbours (Å) after each atom.
Fractional positions:
Y: 0.5000 0.0000 0.6267  8 Y 3.57-3.60, 4 Pm 3.58-3.59
Y: 0.5000 0.5000 0.2464  4 Pm 3.57, 8 Y 3.59-3.60
Y: 0.0000 0.5000 0.8800  8 Y 3.50-3.59, 2 Sc 3.50, 2 Pm 3.61
Y: 0.0000 0.5000 0.3733  8 Y 3.57-3.60, 4 Pm 3.58-3.59
Y: 0.0000 0.5000 0.6267  8 Y 3.57-3.60, 4 Pm 3.58-3.59
Y: 0.5000 0.0000 0.8800  8 Y 3.50-3.59, 2 Sc 3.50, 2 Pm 3.61
Y: 0.5000 0.0000 0.1200  8 Y 3.50-3.59, 2 Sc 3.50, 2 Pm 3.61
Y: 0.0000 0.5000 0.1200  8 Y 3.50-3.59, 2 Sc 3.50, 2 Pm 3.61
Y: 0.5000 0.0000 0.3733  8 Y 3.57-3.60, 4 Pm 3.58-3.59
Y: 0.5000 0.5000 0.0000  8 Y 3.50, 4 Sc 3.57
Y: 0.5000 0.5000 0.5000  4 Pm 3.57, 8 Y 3.59
Y: 0.5000 0.5000 0.7536  4 Pm 3.57, 8 Y 3.59-3.60
Pm: 0.0000 0.0000 0.2477  12 Y 3.57-3.61
Pm: 0.0000 0.0000 0.7523  12 Y 3.57-3.61
Pm: 0.0000 0.0000 0.5000  12 Y 3.57-3.59
Sc: 0.0000 0.0000 0.0000  12 Y 3.50-3.57


no.,E_form (meV/atom)
1,46
2,216
3,52
4,248
5,270
6,62
7,77
8,57
9,151
10,29